[1]
VASP calculation (PBE-GGA) on a relaxed structure of Hf12CoGe6.

a b c (Å): 7.5842 7.5842 7.5842
angles (deg): 100.53 100.53 100.53
With the nearest neighbours (Å) after each atom.
Sites, in units of the cell vectors:
Ge 0.8718 0.3590 0.6822  7 Hf 2.69-2.89
Ge 0.6410 0.3178 0.1282  7 Hf 2.69-2.89
Ge 0.3590 0.6822 0.8718  7 Hf 2.69-2.89
Ge 0.6822 0.8718 0.3590  7 Hf 2.69-2.89
Ge 0.3178 0.1282 0.6410  7 Hf 2.69-2.89
Ge 0.1282 0.6410 0.3178  7 Hf 2.69-2.89
Hf 0.4513 0.8145 0.5870  4 Ge 2.69-2.81
Hf 0.4130 0.5487 0.1855  4 Ge 2.69-2.81
Hf 0.0564 0.9771 0.3179  1 Co 2.41, 1 Ge 2.70
Hf 0.5870 0.4513 0.8145  4 Ge 2.69-2.81
Hf 0.3179 0.0564 0.9771  1 Co 2.41, 1 Ge 2.70
Hf 0.5487 0.1855 0.4130  4 Ge 2.69-2.81
Hf 0.1855 0.4130 0.5487  4 Ge 2.69-2.81
Hf 0.9436 0.0229 0.6821  1 Co 2.41, 1 Ge 2.70
Hf 0.8145 0.5870 0.4513  4 Ge 2.69-2.81
Hf 0.6821 0.9436 0.0229  1 Co 2.41, 1 Ge 2.70
Hf 0.0229 0.6821 0.9436  1 Co 2.41, 1 Ge 2.70
Hf 0.9771 0.3179 0.0564  1 Co 2.41, 1 Ge 2.70
Co 0.0000 0.0000 0.0000  6 Hf 2.41

Output
As for the energy: -0.6138 Ry/atom. Its space group is No. 148. Its theoretical density is 10.65 g/cm³. For the volume, the calculation gives 21.63 Å³/atom.

---

[2]
VASP calculation (PBE-GGA) on a relaxed structure of Hf3Co6Ge2.

a b c (Å): 7.3429 7.3429 7.3429
angles (deg): 109.47 109.47 109.47
With the nearest neighbours (Å) after each atom.
Sites, in units of the cell vectors:
Co 0.0000 0.3478 0.6522  2 Ge 2.42, 6 Co 2.47-2.58, 2 Hf 2.60
Co 0.6955 0.3478 0.3478  2 Ge 2.42, 6 Co 2.47-2.58, 2 Hf 2.60
Co 0.3478 0.6955 0.3478  2 Ge 2.42, 6 Co 2.47-2.58, 2 Hf 2.60
Co 0.6522 0.0000 0.3478  2 Ge 2.42, 6 Co 2.47-2.58, 2 Hf 2.60
Co 0.3045 0.6522 0.6522  2 Ge 2.42, 6 Co 2.47-2.58, 2 Hf 2.60
Co 0.0000 0.6522 0.3478  2 Ge 2.42, 6 Co 2.47-2.58, 2 Hf 2.60
Co 0.3478 0.3478 0.6955  2 Ge 2.42, 6 Co 2.47-2.58, 2 Hf 2.60
Co 0.3478 0.6522 0.0000  2 Ge 2.42, 6 Co 2.47-2.58, 2 Hf 2.60
Co 0.3478 0.0000 0.6522  2 Ge 2.42, 6 Co 2.47-2.58, 2 Hf 2.60
Co 0.6522 0.3045 0.6522  2 Ge 2.42, 6 Co 2.47-2.58, 2 Hf 2.60
Co 0.6522 0.3478 0.0000  2 Ge 2.42, 6 Co 2.47-2.58, 2 Hf 2.60
Co 0.6522 0.6522 0.3045  2 Ge 2.42, 6 Co 2.47-2.58, 2 Hf 2.60
Hf 0.2816 0.0000 0.2816  4 Co 2.60
Hf 0.0000 0.7184 0.7184  4 Co 2.60
Hf 0.7184 0.7184 0.0000  4 Co 2.60
Hf 0.0000 0.2816 0.2816  4 Co 2.60
Hf 0.7184 0.0000 0.7184  4 Co 2.60
Hf 0.2816 0.2816 0.0000  4 Co 2.60
Ge 0.0000 0.5000 0.0000  6 Co 2.42
Ge 0.5000 0.0000 0.0000  6 Co 2.42
Ge 0.5000 0.5000 0.5000  6 Co 2.42
Ge 0.0000 0.0000 0.5000  6 Co 2.42

Output
As for the energy: -0.5813 Ry/atom. Its space group is No. 229. Its theoretical density is 11.27 g/cm³. For the volume, the calculation gives 13.85 Å³/atom.

---

[3]
VASP calculation (PBE-GGA) on a relaxed structure of Hf8Co2Ge.

a b c (Å): 5.0886 7.1832 7.1832
angles (deg): 116.41 100.12 100.12
With the nearest neighbours (Å) after each atom.
Sites, in units of the cell vectors:
Hf 0.3162 0.6013 0.6013  4 Hf 2.79-3.09, 1 Ge 2.85, 2 Co 2.98
Hf 0.6838 0.3987 0.3987  4 Hf 2.79-3.09, 1 Ge 2.85, 2 Co 2.98
Hf 0.0542 0.3331 0.0903  2 Co 2.53-2.57
Hf 0.9458 0.6669 0.9097  2 Co 2.53-2.57
Hf 0.9458 0.9097 0.6669  2 Co 2.53-2.57
Hf 0.5000 0.7535 0.2465  2 Co 2.60
Hf 0.0542 0.0903 0.3331  2 Co 2.53-2.57
Hf 0.5000 0.2465 0.7535  2 Co 2.60
Co 0.0000 0.7094 0.2906  6 Hf 2.53-2.60
Co 0.0000 0.2906 0.7094  6 Hf 2.53-2.60
Ge 0.5000 0.0000 0.0000  8 Hf 2.85-3.12

Output
As for the energy: -0.6675 Ry/atom. Its space group is No. 12. Its theoretical density is 12.12 g/cm³. For the volume, the calculation gives 20.15 Å³/atom.

---

[4]
VASP calculation (PBE-GGA) on a relaxed structure of Hf2CoGe4.

a b c (Å): 4.6177 4.6177 7.2877
angles (deg): 71.53 71.53 90.00
With the nearest neighbours (Å) after each atom.
Sites, in units of the cell vectors:
Hf 0.3841 0.3841 0.2319  5 Ge 2.68-2.76
Hf 0.6159 0.6159 0.7681  5 Ge 2.68-2.76
Ge 0.0000 0.5000 0.0000  2 Co 2.31
Ge 0.8214 0.8214 0.3573  1 Co 2.33
Ge 0.5000 0.0000 0.0000  2 Co 2.31
Ge 0.1786 0.1786 0.6427  1 Co 2.33
Co 0.0000 0.0000 0.0000  6 Ge 2.31-2.33

Output
As for the energy: -0.4706 Ry/atom. Its space group is No. 139. Its theoretical density is 8.44 g/cm³. For the volume, the calculation gives 19.85 Å³/atom.

---

[5]
VASP calculation (PBE-GGA) on a relaxed structure of Hf3CoGe.

a b c (Å): 4.7371 4.7371 4.7371
angles (deg): 90.00 90.00 90.00
With the nearest neighbours (Å) after each atom.
Sites, in units of the cell vectors:
Ge 0.5000 0.5000 0.5000  12 Hf 3.35
Co 0.0000 0.0000 0.0000  6 Hf 2.37
Hf 0.0000 0.5000 0.0000  2 Co 2.37
Hf 0.5000 0.0000 0.0000  2 Co 2.37
Hf 0.0000 0.0000 0.5000  2 Co 2.37

Output
As for the energy: -0.6078 Ry/atom. Its space group is No. 221. Its theoretical density is 10.42 g/cm³. For the volume, the calculation gives 21.26 Å³/atom.

---

[6]
VASP calculation (PBE-GGA) on a relaxed structure of HfCo5Ge2.

a b c (Å): 3.3239 6.0255 6.0255
angles (deg): 66.95 73.99 73.99
With the nearest neighbours (Å) after each atom.
Sites, in units of the cell vectors:
Ge 0.2513 0.2487 0.2487  7 Co 2.30-2.41
Ge 0.7487 0.7513 0.7513  7 Co 2.30-2.41
Co 0.6299 0.1722 0.5679  3 Ge 2.30-2.41, 3 Co 2.45-2.46
Co 0.6299 0.5679 0.1722  3 Ge 2.30-2.41, 3 Co 2.45-2.46
Co 0.0000 0.5000 0.5000  2 Ge 2.38, 8 Co 2.45
Co 0.3701 0.8278 0.4321  3 Ge 2.30-2.41, 3 Co 2.45-2.46
Co 0.3701 0.4321 0.8278  3 Ge 2.30-2.41, 3 Co 2.45-2.46
Hf 0.0000 0.0000 0.0000  8 Co 2.88, 4 Ge 2.89

Output
As for the energy: -0.5173 Ry/atom. Its space group is No. 71. Its theoretical density is 9.80 g/cm³. For the volume, the calculation gives 13.10 Å³/atom.